The following is a PBE with a Hubbard U calculation of an optimized crystal structure of PaCoReO6, from the Alexandria database.

The structure in POSCAR format:
```
PaCoReO6
1.0
-3.749 2.436 3.103
-1.212 -1.439 -5.106
-2.755 -7.912 2.883
Co O Pa Re
2 12 2 2
direct
0.000 0.000 0.000 Co
0.000 0.000 0.500 Co
0.357 0.327 0.371 O
0.970 0.327 0.129 O
0.357 0.030 0.129 O
0.673 0.030 0.371 O
0.327 0.357 0.871 O
0.327 0.970 0.629 O
0.643 0.970 0.871 O
0.673 0.643 0.129 O
0.030 0.673 0.871 O
0.970 0.643 0.371 O
0.030 0.357 0.629 O
0.643 0.673 0.629 O
0.333 0.667 0.250 Pa
0.667 0.333 0.750 Pa
0.667 0.333 0.250 Re
0.333 0.667 0.750 Re
```

## Properties
Space-group type: No. 163
E_tot, eV per cell: -150.45